Record 1
The following is a DFT calculation (SCAN) of a PBEsol-optimized structure of CdP2SF.

Lattice parameters (Å, degrees): 4.0004 4.0004 5.5867 90.00 90.00 90.00
Closest atoms and distances in Å follow each position.
Fractional coordinates of all 5 atoms:
Cd 0.0000 0.0000 0.0000  4 S 2.83
P 0.0000 0.5000 0.5000  2 F 2.00
P 0.5000 0.0000 0.5000  2 F 2.00
S 0.5000 0.5000 0.0000  2 F 2.79, 4 Cd 2.83
F 0.5000 0.5000 0.5000  4 P 2.00

The calculation puts the uncorrected formation energy at 0.5716 eV/atom. As for the offset from the most stable computed form: 0 meV/atom. The total energy is -0.45218 Ha/atom. Its crystal system is tetragonal.


Record 2
The following is a DFT calculation (SCAN) of a PBEsol-optimized structure of Cd2PbF.

Lattice parameters (Å, degrees): 6.9271 6.9271 6.9271 90.00 90.00 90.00
Closest atoms and distances in Å follow each position.
Fractional coordinates of all 16 atoms:
Cd 0.2500 0.2500 0.2500  4 F 3.00, 4 Pb 3.00
Cd 0.2500 0.2500 0.7500  4 F 3.00, 4 Pb 3.00
Cd 0.2500 0.7500 0.2500  4 F 3.00, 4 Pb 3.00
Cd 0.2500 0.7500 0.7500  4 F 3.00, 4 Pb 3.00
Cd 0.7500 0.2500 0.2500  4 F 3.00, 4 Pb 3.00
Cd 0.7500 0.2500 0.7500  4 F 3.00, 4 Pb 3.00
Cd 0.7500 0.7500 0.2500  4 F 3.00, 4 Pb 3.00
Cd 0.7500 0.7500 0.7500  4 F 3.00, 4 Pb 3.00
Pb 0.0000 0.0000 0.0000  8 Cd 3.00
Pb 0.0000 0.5000 0.5000  8 Cd 3.00
Pb 0.5000 0.0000 0.5000  8 Cd 3.00
Pb 0.5000 0.5000 0.0000  8 Cd 3.00
F 0.0000 0.0000 0.5000  8 Cd 3.00
F 0.0000 0.5000 0.0000  8 Cd 3.00
F 0.5000 0.0000 0.0000  8 Cd 3.00
F 0.5000 0.5000 0.5000  8 Cd 3.00

The calculation puts the uncorrected formation energy at -0.5090 eV/atom. The total energy is -1.30631 Ha/atom. Its crystal system is cubic.


Record 3
The following is a DFT calculation (SCAN) of a PBEsol-optimized structure of CdPdF2.

Lattice parameters (Å, degrees): 3.0525 3.0525 23.0172 90.00 90.00 120.00
Closest atoms and distances in Å follow each position.
Fractional coordinates of all 12 atoms:
Cd 0.0000 0.0000 0.0000  2 F 2.39
Cd 0.3333 0.6667 0.6667  2 F 2.39
Cd 0.6667 0.3333 0.3333  2 F 2.39
Pd 0.0000 0.0000 0.5000  6 F 2.28
Pd 0.3333 0.6667 0.1667  6 F 2.28
Pd 0.6667 0.3333 0.8333  6 F 2.28
F 0.0000 0.0000 0.1040  3 Pd 2.28, 1 Cd 2.39
F 0.0000 0.0000 0.8960  3 Pd 2.28, 1 Cd 2.39
F 0.3333 0.6667 0.5627  3 Pd 2.28, 1 Cd 2.39
F 0.3333 0.6667 0.7706  3 Pd 2.28, 1 Cd 2.39
F 0.6667 0.3333 0.2294  3 Pd 2.28, 1 Cd 2.39
F 0.6667 0.3333 0.4373  3 Pd 2.28, 1 Cd 2.39

The calculation puts the uncorrected formation energy at -0.9674 eV/atom. As for the offset from the most stable computed form: 93 meV/atom. The total energy is -0.68113 Ha/atom. Its crystal system is trigonal.


Record 4
The following is a DFT calculation (SCAN) of a PBEsol-optimized structure of CdPdF2.

Lattice parameters (Å, degrees): 5.9086 5.9086 5.9086 90.00 90.00 90.00
Closest atoms and distances in Å follow each position.
Fractional coordinates of all 16 atoms:
Cd 0.0000 0.0000 0.0000  8 F 2.56
Cd 0.0000 0.5000 0.5000  8 F 2.56
Cd 0.5000 0.0000 0.5000  8 F 2.56
Cd 0.5000 0.5000 0.0000  8 F 2.56
Pd 0.0000 0.0000 0.5000  8 F 2.56
Pd 0.0000 0.5000 0.0000  8 F 2.56
Pd 0.5000 0.0000 0.0000  8 F 2.56
Pd 0.5000 0.5000 0.5000  8 F 2.56
F 0.2500 0.2500 0.2500  4 Cd 2.56, 4 Pd 2.56
F 0.2500 0.2500 0.7500  4 Pd 2.56, 4 Cd 2.56
F 0.2500 0.7500 0.2500  4 Cd 2.56, 4 Pd 2.56
F 0.2500 0.7500 0.7500  4 Cd 2.56, 4 Pd 2.56
F 0.7500 0.2500 0.2500  4 Cd 2.56, 4 Pd 2.56
F 0.7500 0.2500 0.7500  4 Cd 2.56, 4 Pd 2.56
F 0.7500 0.7500 0.2500  4 Cd 2.56, 4 Pd 2.56
F 0.7500 0.7500 0.7500  4 Pd 2.56, 4 Cd 2.56

The calculation puts the uncorrected formation energy at -1.0602 eV/atom. As for the offset from the most stable computed form: 0 meV/atom. The total energy is -0.68455 Ha/atom. Its crystal system is cubic.


Record 5
The following is a DFT calculation (SCAN) of a PBEsol-optimized structure of CdPdF6.

Lattice parameters (Å, degrees): 5.6159 5.6159 5.6159 53.97 53.97 53.97
Closest atoms and distances in Å follow each position.
Fractional coordinates of all 8 atoms:
Cd 0.0000 0.0000 0.0000  6 F 2.23
Pd 0.5000 0.5000 0.5000  6 F 1.92
F 0.1093 0.7198 0.4373  1 Pd 1.92
F 0.2802 0.5627 0.8907  1 Pd 1.92
F 0.4373 0.1093 0.7198  1 Pd 1.92
F 0.5627 0.8907 0.2802  1 Pd 1.92
F 0.7198 0.4373 0.1093  1 Pd 1.92
F 0.8907 0.2802 0.5627  1 Pd 1.92

The calculation puts the uncorrected formation energy at -1.8168 eV/atom. The total energy is -0.45460 Ha/atom. Its crystal system is trigonal.


Record 6
The following is a DFT calculation (SCAN) of a PBEsol-optimized structure of CdPdRhF2.

Lattice parameters (Å, degrees): 4.0551 4.0551 5.5858 90.00 90.00 90.00
Closest atoms and distances in Å follow each position.
Fractional coordinates of all 5 atoms:
Cd 0.0000 0.0000 0.0000  4 F 2.03
Pd 0.0000 0.0000 0.5000  2 Cd 2.79, 4 Rh 2.87
Rh 0.5000 0.5000 0.5000  4 Pd 2.87
F 0.0000 0.5000 0.0000  2 Cd 2.03
F 0.5000 0.0000 0.0000  2 Cd 2.03

The calculation puts the uncorrected formation energy at -0.3300 eV/atom. The total energy is -0.77681 Ha/atom. Its crystal system is tetragonal.


Record 7
The following is a DFT calculation (SCAN) of a PBEsol-optimized structure of RbCd2PtF.

Lattice parameters (Å, degrees): 5.8046 5.8046 4.4663 90.00 90.00 90.00
Closest atoms and distances in Å follow each position.
Fractional coordinates of all 5 atoms:
Rb 0.0000 0.0000 0.0000  2 F 2.23
Cd 0.0000 0.5000 0.0000  2 Rb 2.90
Cd 0.5000 0.0000 0.0000  2 Rb 2.90
Pt 0.5000 0.5000 0.5000  8 Cd 3.66
F 0.0000 0.0000 0.5000  2 Rb 2.23

The calculation puts the uncorrected formation energy at 0.4956 eV/atom. The total energy is -1.12323 Ha/atom. Its crystal system is tetragonal.


Record 8
The following is a DFT calculation (SCAN) of a PBEsol-optimized structure of CdPtSF2.

Lattice parameters (Å, degrees): 3.9259 3.9259 5.9862 90.00 90.00 90.00
Closest atoms and distances in Å follow each position.
Fractional coordinates of all 5 atoms:
Cd 0.0000 0.0000 0.0000  4 F 1.96
Pt 0.0000 0.0000 0.5000  4 S 2.78, 2 Cd 2.99
S 0.5000 0.5000 0.5000  4 Pt 2.78
F 0.0000 0.5000 0.0000  2 Cd 1.96
F 0.5000 0.0000 0.0000  2 Cd 1.96

The calculation puts the uncorrected formation energy at -0.5338 eV/atom. The total energy is -0.88187 Ha/atom. Its crystal system is tetragonal.